Version P
Here is a geometry-optimized Sr2TlOs structure from Alexandria. Energies are from GGA-PBE.

It has space group I-42d (No. 122), with a = 10.848 Å, b = 10.848 Å, c = 5.340 Å, α = 90.00°, β = 90.00° and γ = 90.00°. Symmetry generates all atoms from Sr at (0.086, 0.250, 0.125), Tl at (0.000, 0.000, 0.500) and Os at (0.000, 0.000, 0.000).

The calculated volume is 39.28 A^3/atom. The value obtained for the mass density is 6022 kg/m3.


Version Q
Here is a geometry-optimized Sr2TlOs structure from Alexandria. Energies are from GGA-PBE.

It has space group C2/m (No. 12), with a = 8.221 Å, b = 3.274 Å, c = 9.242 Å, α = 90.00°, β = 96.35° and γ = 90.00°. Symmetry generates all atoms from Sr at (0.240, 0.000, 0.200), Tl at (0.000, 0.000, 0.500) and Os at (0.000, 0.500, 0.000).

The calculated volume is 30.90 A^3/atom. The value obtained for the mass density is 7655 kg/m3.


Version R
Here is a geometry-optimized Sr2TlOs structure from Alexandria. Energies are from GGA-PBE.

It has space group Imm2 (No. 44), with a = 3.738 Å, b = 5.438 Å, c = 11.437 Å, α = 90.00°, β = 90.00° and γ = 90.00°. Symmetry generates all atoms from Sr at (0.000, 0.000, 0.000), Sr at (0.000, 0.500, 0.194), Tl at (0.000, 0.500, 0.793) and Os at (0.000, 0.000, 0.470).

The calculated volume is 29.06 A^3/atom. The value obtained for the mass density is 8139 kg/m3.


Version S
Here is a geometry-optimized Sr2TlOs structure from Alexandria. Energies are from GGA-PBE.

It has space group R-3m (No. 166, hexagonal axes), with a = 3.6789 Å, b = 3.6789 Å, c = 30.4582 Å, α = 90.00°, β = 90.00° and γ = 120.00°. Symmetry generates all atoms from Sr at (0.0000, 0.0000, 0.2367), Tl at (0.0000, 0.0000, 0.0000) and Os at (0.0000, 0.0000, 0.5000).

The calculated volume is 29.75 A^3/atom. The value obtained for the mass density is 7952 kg/m3.


Which of the structures shown above is the most stable? The most stable is version R.